A plane-wave DFT calculation with PBE+U was carried out for AcV2IrO8 after structural relaxation.

```
AcV2IrO8
1.0
-0.8997 1.5377 4.5655
3.2725 -0.8259 3.5534
4.1046 6.7456 1.1672
Ac V Ir O
1 2 1 8
direct
0.0000 0.0000 0.0000 Ac
0.7585 0.7585 0.7246 V
0.2415 0.2415 0.2754 V
0.5000 0.5000 0.5000 Ir
0.6808 0.6808 0.9576 O
0.3192 0.3192 0.0424 O
0.5771 0.2388 0.3166 O
0.7612 0.4229 0.6834 O
0.1325 0.7612 0.6834 O
0.2388 0.8675 0.3166 O
0.8675 0.5771 0.3166 O
0.4229 0.1325 0.6834 O
```

## Properties
SG: R32, No. 155
Uncorrected energy: -88.3 eV/cell